NiBiSb2Te: optimized geometry, PBE.

Total magnetization = 0.000 μB per cell
Formation energy from raw total energies = 1413.1 meV/atom
E above lowest polymorph = 1.182 eV/atom
Final energy = -2.797 eV/atom

```
data_NiBiSb2Te
_cell_length_a 5.767
_cell_length_b 5.767
_cell_length_c 5.914
_cell_angle_alpha 90.00
_cell_angle_beta 90.00
_cell_angle_gamma 90.00
_symmetry_space_group_name_H-M 'P 4/m m m'
_symmetry_Int_Tables_number 123
_symmetry_space_group_name_Hall '-P 4 2'
loop_
_atom_site_label
_atom_site_type_symbol
_atom_site_fract_x
_atom_site_fract_y
_atom_site_fract_z
Ni1 Ni 0.000 0.000 0.000
Bi1 Bi 0.500 0.500 0.500
Sb1 Sb 0.000 0.500 0.500
Te1 Te 0.500 0.500 0.000
```

NiBiSb2Te: optimized geometry, PBE.

Total magnetization = 0.000 μB per cell
Formation energy from raw total energies = 231.3 meV/atom
E above lowest polymorph = 0.000 eV/atom
Final energy = -3.978 eV/atom

```
data_NiBiSb2Te
_cell_length_a 4.965
_cell_length_b 4.965
_cell_length_c 5.368
_cell_angle_alpha 90.00
_cell_angle_beta 90.00
_cell_angle_gamma 90.00
_symmetry_space_group_name_H-M 'P 4/m m m'
_symmetry_Int_Tables_number 123
_symmetry_space_group_name_Hall '-P 4 2'
loop_
_atom_site_label
_atom_site_type_symbol
_atom_site_fract_x
_atom_site_fract_y
_atom_site_fract_z
Ni1 Ni 0.000 0.000 0.000
Bi1 Bi 0.500 0.500 0.500
Sb1 Sb 0.000 0.500 0.000
Te1 Te 0.000 0.000 0.500
```

Th2Ni4BiSb3: optimized geometry, PBE.

Total magnetization = 0.000 μB per cell
Formation energy from raw total energies = -520.8 meV/atom
Final energy = -5.942 eV/atom

```
data_Th2Ni4BiSb3
_cell_length_a 4.516
_cell_length_b 4.516
_cell_length_c 10.068
_cell_angle_alpha 90.00
_cell_angle_beta 90.00
_cell_angle_gamma 90.00
_symmetry_space_group_name_H-M 'P -4 m 2'
_symmetry_Int_Tables_number 115
loop_
_symmetry_equiv_pos_as_xyz
'x,y,z'
'y,-x,-z'
'-x,-y,z'
'-y,x,-z'
'-x,y,z'
'-y,-x,-z'
'x,-y,z'
'y,x,-z'
loop_
_atom_site_label
_atom_site_type_symbol
_atom_site_fract_x
_atom_site_fract_y
_atom_site_fract_z
Th1 Th 0.000 0.500 0.225
Ni1 Ni 0.000 0.000 0.000
Ni2 Ni 0.000 0.500 0.633
Ni3 Ni 0.500 0.500 0.000
Bi1 Bi 0.000 0.000 0.500
Sb1 Sb 0.000 0.500 0.877
Sb2 Sb 0.500 0.500 0.500
```

Sc5Ni2Bi: optimized geometry, PBE.

Total magnetization = 0.001 μB per cell
Final energy = -6.347 eV/atom

```
data_Sc5Ni2Bi
_cell_length_a 7.019
_cell_length_b 7.019
_cell_length_c 13.526
_cell_angle_alpha 90.00
_cell_angle_beta 90.00
_cell_angle_gamma 90.00
_symmetry_space_group_name_H-M 'I 4/m c m'
_symmetry_Int_Tables_number 140
_symmetry_space_group_name_Hall '-I 4 2c'
loop_
_atom_site_label
_atom_site_type_symbol
_atom_site_fract_x
_atom_site_fract_y
_atom_site_fract_z
Sc1 Sc 0.000 0.000 0.000
Sc2 Sc 0.158 0.342 0.132
Ni1 Ni 0.134 0.366 0.500
Bi1 Bi 0.000 0.000 0.250
```

- Look up the total magnetization of the third one.
  0.000 μB per cell

- Which formula does entry 4 have?
  Sc5Ni2Bi

- final energy of number 4 (Sc5Ni2Bi)?
  -6.347 eV/atom

What did the second record say?
NiBiSb2Te: optimized geometry, PBE.

Total magnetization = 0.000 μB per cell
Formation energy from raw total energies = 231.3 meV/atom
E above lowest polymorph = 0.000 eV/atom
Final energy = -3.978 eV/atom

```
data_NiBiSb2Te
_cell_length_a 4.965
_cell_length_b 4.965
_cell_length_c 5.368
_cell_angle_alpha 90.00
_cell_angle_beta 90.00
_cell_angle_gamma 90.00
_symmetry_space_group_name_H-M 'P 4/m m m'
_symmetry_Int_Tables_number 123
_symmetry_space_group_name_Hall '-P 4 2'
loop_
_atom_site_label
_atom_site_type_symbol
_atom_site_fract_x
_atom_site_fract_y
_atom_site_fract_z
Ni1 Ni 0.000 0.000 0.000
Bi1 Bi 0.500 0.500 0.500
Sb1 Sb 0.000 0.500 0.000
Te1 Te 0.000 0.000 0.500
```